First-principles (GGA-PBE) data for BaFe2B after structural relaxation, as listed in the Alexandria database.

abc: 7.5863 7.5863 7.5863
angles: 142.99 142.99 53.34
Closest atoms and distances in Å follow each position.
Positions (direct):
Ba 0.3750 0.6250 0.7500  8 Fe 3.18, 4 B 3.40
Ba 0.6250 0.3750 0.2500  8 Fe 3.18, 4 B 3.40
Fe 0.0000 0.0000 0.0000  2 B 2.08
Fe 0.0000 0.0000 0.5000  2 B 2.08
Fe 0.0000 0.5000 0.0000  2 B 2.08
Fe 0.5000 0.0000 0.5000  2 B 2.08
B 0.1250 0.8750 0.2500  4 Fe 2.08
B 0.8750 0.1250 0.7500  4 Fe 2.08

The density comes out at 5.5 g cm⁻³. The calculation puts the density of states at the Fermi level at 5.207 states/eV/f.u. Its formation energy is 0.561 eV/atom. The symmetry is I4_1/amd (141). The value obtained for the raw total energy is -46.56 eV per cell.

***

First-principles (GGA-PBE) data for SnGeP2O after structural relaxation, as listed in the Alexandria database.

abc: 5.1216 5.1216 3.9336
angles: 90.00 90.00 90.00
Closest atoms and distances in Å follow each position.
Positions (direct):
Sn 0.0000 0.0000 0.0000  2 O 1.97
Ge 0.5000 0.5000 0.5000  8 P 3.23
P 0.0000 0.5000 0.0000  2 Sn 2.56
P 0.5000 0.0000 0.0000  2 Sn 2.56
O 0.0000 0.0000 0.5000  2 Sn 1.97

The density comes out at 4.3 g cm⁻³. The calculation puts the density of states at the Fermi level at 3.296 states/eV/f.u. The value obtained for the energy above the most stable polymorph in this dataset is 163 kJ/mol of formula units. The symmetry is P4/mmm (123). The value obtained for the raw total energy is -22.14 eV per cell. Its formation energy from raw total energies is 452 meV/atom.